The following is a meta-GGA SCAN calculation of a PBEsol-optimized structure of Nd3Rh2, from Alexandria via LeMat-Bulk.

```
Nd3Rh2
1.0
4.376 2.526 5.489
-4.376 2.526 5.489
0.000 -5.053 5.489
Nd Rh
9 6
Direct
0.000 0.000 0.000
0.165 0.392 0.664
0.204 0.204 0.204
0.336 0.835 0.608
0.392 0.664 0.165
0.608 0.336 0.835
0.664 0.165 0.392
0.796 0.796 0.796
0.835 0.608 0.336
0.042 0.840 0.410
0.160 0.590 0.958
0.410 0.042 0.840
0.590 0.958 0.160
0.840 0.410 0.042
0.958 0.160 0.590
```

Calculated formation energy, kJ/mol of formula units: -342
Symmetry: R-3, No. 148

***

The following is a meta-GGA SCAN calculation of a PBEsol-optimized structure of TaBeAg2, from Alexandria via LeMat-Bulk.

```
TaBeAg2
1.0
2.817 0.000 0.000
0.000 2.817 0.000
0.000 0.000 7.317
Ta Be Ag
1 1 2
Direct
0.000 0.000 0.000
0.000 0.000 0.500
0.500 0.500 0.296
0.500 0.500 0.704
```

Calculated formation energy, kJ/mol of formula units: 84
Symmetry: P4/mmm, No. 123

***

The following is a meta-GGA SCAN calculation of a PBEsol-optimized structure of Sc5Ru24, from Alexandria via LeMat-Bulk.

```
Sc5Ru24
1.0
-4.716 4.716 4.716
4.716 -4.716 4.716
4.716 4.716 -4.716
Sc Ru
5 24
Direct
0.000 0.000 0.000
0.000 0.000 0.373
0.000 0.373 0.000
0.373 0.000 0.000
0.627 0.627 0.627
0.000 0.324 0.616
0.000 0.616 0.324
0.000 0.629 0.807
0.000 0.807 0.629
0.179 0.371 0.371
0.193 0.193 0.821
0.193 0.821 0.193
0.292 0.676 0.676
0.324 0.000 0.616
0.324 0.616 0.000
0.371 0.179 0.371
0.371 0.371 0.179
0.384 0.384 0.708
0.384 0.708 0.384
0.616 0.000 0.324
0.616 0.324 0.000
0.629 0.000 0.807
0.629 0.807 0.000
0.676 0.292 0.676
0.676 0.676 0.292
0.708 0.384 0.384
0.807 0.000 0.629
0.807 0.629 0.000
0.821 0.193 0.193
```

Calculated formation energy, kJ/mol of formula units: -506
Symmetry: I-43m, No. 217

***

The following is a meta-GGA SCAN calculation of a PBEsol-optimized structure of TcSnSN2, from Alexandria via LeMat-Bulk.

```
TcSnSN2
1.0
3.856 0.000 0.000
0.000 3.856 0.000
0.000 0.000 4.927
Tc Sn S N
1 1 1 2
Direct
0.000 0.000 0.000
0.500 0.500 0.500
0.000 0.000 0.500
0.000 0.500 0.000
0.500 0.000 0.000
```

Formation energy without anion corrections, eV per atom: 0.37
Symmetry: P4/mmm, No. 123

***

The following is a meta-GGA SCAN calculation of a PBEsol-optimized structure of SrInPb2, from Alexandria via LeMat-Bulk.

```
SrInPb2
1.0
-2.412 2.412 5.039
2.412 -2.412 5.039
2.412 2.412 -5.039
Sr In Pb
1 1 2
Direct
0.000 0.000 0.000
0.500 0.500 0.000
0.250 0.750 0.500
0.750 0.250 0.500
```

Calculated formation energy, kJ/mol of formula units: -163
Symmetry: I4/mmm, No. 139

***

The following is a meta-GGA SCAN calculation of a PBEsol-optimized structure of Hg2TeBr, from Alexandria via LeMat-Bulk.

```
Hg2TeBr
1.0
3.448 0.000 0.000
0.000 3.448 0.000
0.000 0.000 8.343
Hg Te Br
2 1 1
Direct
0.000 0.000 0.000
0.500 0.500 0.227
0.000 0.000 0.488
0.500 0.500 0.771
```

Formation energy without anion corrections, eV per atom: 0.17
Symmetry: P4mm, No. 99

***

The following is a meta-GGA SCAN calculation of a PBEsol-optimized structure of K4LaCr, from Alexandria via LeMat-Bulk.

```
K4LaCr
1.0
0.000 5.142 5.142
5.142 0.000 5.142
5.142 5.142 0.000
K La Cr
4 1 1
Direct
0.376 0.376 0.376
0.376 0.376 0.871
0.376 0.871 0.376
0.871 0.376 0.376
0.000 0.000 0.000
0.750 0.750 0.750
```

Calculated formation energy, kJ/mol of formula units: 438
Symmetry: F-43m, No. 216

***

The following is a meta-GGA SCAN calculation of a PBEsol-optimized structure of SrCSe2, from Alexandria via LeMat-Bulk.

```
SrCSe2
1.0
2.425 1.400 6.363
-2.425 1.400 6.363
0.000 -2.800 6.363
Sr C Se
1 1 2
Direct
0.000 0.000 0.000
0.500 0.500 0.500
0.405 0.405 0.405
0.595 0.595 0.595
```

Formation energy without anion corrections, eV per atom: 0.03
Symmetry: R-3m, No. 166

***

The following is a meta-GGA SCAN calculation of a PBEsol-optimized structure of Cd2PAu, from Alexandria via LeMat-Bulk.

```
Cd2PAu
1.0
5.125 0.000 0.000
0.000 5.125 0.000
0.000 0.000 2.829
Cd P Au
2 1 1
Direct
0.000 0.500 0.000
0.500 0.000 0.000
0.000 0.000 0.500
0.500 0.500 0.500
```

Calculated formation energy, kJ/mol of formula units: 38
Symmetry: P4/mmm, No. 123

***

The following is a meta-GGA SCAN calculation of a PBEsol-optimized structure of InFe2Se, from Alexandria via LeMat-Bulk.

```
InFe2Se
1.0
-1.470 2.647 4.169
1.470 -2.647 4.169
1.470 2.647 -4.169
In Fe Se
1 2 1
Direct
0.000 0.000 0.000
0.272 0.772 0.500
0.728 0.228 0.500
0.500 0.500 0.000
```

Formation energy without anion corrections, eV per atom: 0.36
Symmetry: Immm, No. 71

***

The following is a meta-GGA SCAN calculation of a PBEsol-optimized structure of Cd3SbC, from Alexandria via LeMat-Bulk.

```
Cd3SbC
1.0
4.631 0.000 0.000
0.000 4.631 0.000
0.000 0.000 4.631
Cd Sb C
3 1 1
Direct
0.000 0.000 0.500
0.000 0.500 0.000
0.500 0.000 0.000
0.500 0.500 0.500
0.000 0.000 0.000
```

Formation energy without anion corrections, eV per atom: 0.72
Symmetry: Pm-3m, No. 221

***

The following is a meta-GGA SCAN calculation of a PBEsol-optimized structure of MgBeSb2, from Alexandria via LeMat-Bulk.

```
MgBeSb2
1.0
3.410 0.000 0.000
0.000 3.410 0.000
0.000 0.000 7.171
Mg Be Sb
1 1 2
Direct
0.000 0.000 0.000
0.000 0.000 0.500
0.500 0.500 0.288
0.500 0.500 0.712
```

Formation energy without anion corrections, eV per atom: 0.29
Symmetry: P4/mmm, No. 123

***

The following is a meta-GGA SCAN calculation of a PBEsol-optimized structure of Cr2NiSe, from Alexandria via LeMat-Bulk.

```
Cr2NiSe
1.0
3.031 0.000 0.000
0.000 3.031 0.000
0.000 0.000 5.353
Cr Ni Se
2 1 1
Direct
0.000 0.000 0.000
0.500 0.500 0.242
0.000 0.000 0.477
0.500 0.500 0.742
```

Formation energy without anion corrections, eV per atom: 0.10
Symmetry: P4mm, No. 99

***

The following is a meta-GGA SCAN calculation of a PBEsol-optimized structure of Co2Pt, from Alexandria via LeMat-Bulk.

```
Co2Pt
1.0
2.614 0.000 0.000
-1.307 2.263 0.000
0.000 0.000 6.221
Co Pt
2 1
Direct
0.333 0.667 0.149
0.667 0.333 0.851
0.000 0.000 0.500
```

Calculated formation energy, kJ/mol of formula units: -3
Symmetry: P-3m1, No. 164

***

The following is a meta-GGA SCAN calculation of a PBEsol-optimized structure of MgCu4Se2, from Alexandria via LeMat-Bulk.

```
MgCu4Se2
1.0
1.956 1.129 8.293
-1.956 1.129 8.293
0.000 -2.259 8.293
Mg Cu Se
1 4 2
Direct
0.000 0.000 0.000
0.175 0.175 0.175
0.449 0.449 0.449
0.551 0.551 0.551
0.825 0.825 0.825
0.273 0.273 0.273
0.727 0.727 0.727
```

Formation energy without anion corrections, eV per atom: -0.32
Symmetry: R-3m, No. 166

***

The following is a meta-GGA SCAN calculation of a PBEsol-optimized structure of ScZnSCl2, from Alexandria via LeMat-Bulk.

```
ScZnSCl2
1.0
4.838 0.000 0.000
0.000 4.838 0.000
0.000 0.000 5.034
Sc Zn S Cl
1 1 1 2
Direct
0.000 0.000 0.000
0.500 0.500 0.500
0.000 0.000 0.500
0.000 0.500 0.000
0.500 0.000 0.000
```

Formation energy without anion corrections, eV per atom: -1.18
Symmetry: P4/mmm, No. 123

***

The following is a meta-GGA SCAN calculation of a PBEsol-optimized structure of Be3Tl2Zn2F12, from Alexandria via LeMat-Bulk.

```
Be3Tl2Zn2F12
1.0
10.018 0.000 0.000
0.000 10.018 0.000
0.000 0.000 10.018
Be Tl Zn F
12 8 8 48
Direct
0.021 0.210 0.376
0.124 0.979 0.710
0.210 0.376 0.021
0.290 0.624 0.521
0.376 0.021 0.210
0.479 0.790 0.876
0.521 0.290 0.624
0.624 0.521 0.290
0.710 0.124 0.979
0.790 0.876 0.479
0.876 0.479 0.790
0.979 0.710 0.124
0.044 0.044 0.044
0.184 0.316 0.684
0.316 0.684 0.184
0.456 0.956 0.544
0.544 0.456 0.956
0.684 0.184 0.316
0.816 0.816 0.816
0.956 0.544 0.456
0.100 0.900 0.400
0.166 0.666 0.834
0.334 0.334 0.334
0.400 0.100 0.900
0.600 0.600 0.600
0.666 0.834 0.166
0.834 0.166 0.666
0.900 0.400 0.100
0.008 0.559 0.767
0.009 0.064 0.325
0.046 0.804 0.228
0.059 0.733 0.992
0.064 0.325 0.009
0.095 0.832 0.746
0.168 0.246 0.405
0.175 0.991 0.564
0.196 0.728 0.454
0.228 0.046 0.804
0.233 0.508 0.941
0.246 0.405 0.168
0.254 0.595 0.668
0.267 0.492 0.441
0.272 0.954 0.304
0.304 0.272 0.954
0.325 0.009 0.064
0.332 0.754 0.905
0.405 0.168 0.246
0.436 0.675 0.509
0.441 0.267 0.492
0.454 0.196 0.728
0.491 0.936 0.825
0.492 0.441 0.267
0.508 0.941 0.233
0.509 0.436 0.675
0.546 0.696 0.772
0.559 0.767 0.008
0.564 0.175 0.991
0.595 0.668 0.254
0.668 0.254 0.595
0.675 0.509 0.436
0.696 0.772 0.546
0.728 0.454 0.196
0.733 0.992 0.059
0.746 0.095 0.832
0.754 0.905 0.332
0.767 0.008 0.559
0.772 0.546 0.696
0.804 0.228 0.046
0.825 0.491 0.936
0.832 0.746 0.095
0.905 0.332 0.754
0.936 0.825 0.491
0.941 0.233 0.508
0.954 0.304 0.272
0.991 0.564 0.175
0.992 0.059 0.733
```

Formation energy without anion corrections, eV per atom: -2.85
Symmetry: P2_13, No. 198

***

The following is a meta-GGA SCAN calculation of a PBEsol-optimized structure of Be2Co, from Alexandria via LeMat-Bulk.

```
Be2Co
1.0
4.242 0.000 0.000
0.000 3.485 0.000
0.000 0.000 6.636
Be Co
8 4
Direct
0.141 0.250 0.018
0.193 0.250 0.685
0.307 0.750 0.185
0.359 0.750 0.518
0.641 0.250 0.482
0.693 0.250 0.815
0.807 0.750 0.315
0.859 0.750 0.982
0.127 0.250 0.361
0.373 0.750 0.861
0.627 0.250 0.139
0.873 0.750 0.639
```

Calculated formation energy, kJ/mol of formula units: -76
Symmetry: Pnma, No. 62

***

The following is a meta-GGA SCAN calculation of a PBEsol-optimized structure of CrPb2Se, from Alexandria via LeMat-Bulk.

```
CrPb2Se
1.0
3.306 0.000 0.000
0.000 3.306 0.000
0.000 0.000 8.471
Cr Pb Se
1 2 1
Direct
0.000 0.000 0.000
0.000 0.000 0.575
0.500 0.500 0.260
0.500 0.500 0.882
```

Formation energy without anion corrections, eV per atom: -0.14
Symmetry: P4mm, No. 99

***

The following is a meta-GGA SCAN calculation of a PBEsol-optimized structure of ZrZn4Re, from Alexandria via LeMat-Bulk.

```
ZrZn4Re
1.0
0.000 3.497 3.497
3.497 0.000 3.497
3.497 3.497 0.000
Zr Zn Re
1 4 1
Direct
0.000 0.000 0.000
0.128 0.624 0.624
0.624 0.128 0.624
0.624 0.624 0.128
0.624 0.624 0.624
0.250 0.250 0.250
```

Calculated formation energy, kJ/mol of formula units: -159
Symmetry: F-43m, No. 216

***

The following is a meta-GGA SCAN calculation of a PBEsol-optimized structure of TaTe2NF, from Alexandria via LeMat-Bulk.

```
TaTe2NF
1.0
4.792 0.000 0.000
0.000 4.792 0.000
0.000 0.000 3.711
Ta Te N F
1 2 1 1
Direct
0.000 0.000 0.000
0.000 0.500 0.500
0.500 0.000 0.500
0.500 0.500 0.000
0.500 0.500 0.500
```

Formation energy without anion corrections, eV per atom: 1.21
Symmetry: P4/mmm, No. 123

***

The following is a meta-GGA SCAN calculation of a PBEsol-optimized structure of BaAlTe2I, from Alexandria via LeMat-Bulk.

```
BaAlTe2I
1.0
6.330 0.000 0.000
0.000 6.330 0.000
0.000 0.000 6.510
Ba Al Te I
1 1 2 1
Direct
0.000 0.000 0.000
0.500 0.500 0.500
0.000 0.500 0.000
0.500 0.000 0.000
0.000 0.000 0.500
```

Formation energy without anion corrections, eV per atom: 0.06
Symmetry: P4/mmm, No. 123

***

The following is a meta-GGA SCAN calculation of a PBEsol-optimized structure of BaFe2Ru, from Alexandria via LeMat-Bulk.

```
BaFe2Ru
1.0
-1.459 2.532 4.762
1.459 -2.532 4.762
1.459 2.532 -4.762
Ba Fe Ru
1 2 1
Direct
0.000 0.000 0.000
0.294 0.794 0.500
0.500 0.500 0.000
0.711 0.211 0.500
```

Calculated formation energy, kJ/mol of formula units: 381
Symmetry: Imm2, No. 44

***

Number 1: density of states at the Fermi level 2.9 states/eV/f.u., E -201.8 eV per formula unit. Number 2: density of states at the Fermi level 2.1 states/eV/f.u., E -132.8 eV per formula unit. Number 3: density of states at the Fermi level 26.3 states/eV/f.u., E -912.3 eV per formula unit. Number 4: density of states at the Fermi level 2.8 states/eV/f.u., E -97.4 eV per formula unit. Number 5: density of states at the Fermi level 1.8 states/eV/f.u., E -208.9 eV per formula unit. Number 6: density of states at the Fermi level 2.7 states/eV/f.u., E -192.4 eV per formula unit. Number 7: density of states at the Fermi level 6.1 states/eV/f.u., E -90.3 eV per formula unit. Number 8: density of states at the Fermi level 0.0 states/eV/f.u., E -72.4 eV per formula unit. Number 9: density of states at the Fermi level 1.5 states/eV/f.u., E -140.0 eV per formula unit. Number 10: density of states at the Fermi level 2.0 states/eV/f.u., E -88.3 eV per formula unit. Number 11: density of states at the Fermi level 3.2 states/eV/f.u., E -135.0 eV per formula unit. Number 12: density of states at the Fermi level 2.3 states/eV/f.u., E -82.7 eV per formula unit. Number 13: density of states at the Fermi level 2.1 states/eV/f.u., E -72.6 eV per formula unit. Number 14: density of states at the Fermi level 1.9 states/eV/f.u., E -104.8 eV per formula unit. Number 15: density of states at the Fermi level 0.6 states/eV/f.u., E -108.1 eV per formula unit. Number 16: density of states at the Fermi level 1.3 states/eV/f.u., E -59.3 eV per formula unit. Number 17: density of states at the Fermi level 0.0 states/eV/f.u., E -281.4 eV per formula unit. Number 18: density of states at the Fermi level 1.6 states/eV/f.u., E -26.8 eV per formula unit. Number 19: density of states at the Fermi level 1.5 states/eV/f.u., E -190.6 eV per formula unit. Number 20: density of states at the Fermi level 2.5 states/eV/f.u., E -157.5 eV per formula unit. Number 21: density of states at the Fermi level 2.4 states/eV/f.u., E -147.9 eV per formula unit. Number 22: density of states at the Fermi level 5.6 states/eV/f.u., E -158.2 eV per formula unit. Number 23: density of states at the Fermi level 3.7 states/eV/f.u., E -106.7 eV per formula unit.